First-principles (PBE-GGA) data for YErPd6 after structural relaxation, as listed in Alexandria.

CIF file:
```
data_YErPd6
_chemical_formula_sum 'Y1 Er1 Pd6'
_space_group_name_H-M_alt 'P 4/m m m'
_space_group_IT_number 123
_space_group_name_Hall '-P 4 2'
_cell_length_a 4.120
_cell_length_b 4.120
_cell_length_c 8.236
_cell_angle_alpha 90.00
_cell_angle_beta 90.00
_cell_angle_gamma 90.00
loop_
_atom_site_label
_atom_site_type_symbol
_atom_site_fract_x
_atom_site_fract_y
_atom_site_fract_z
Y1 Y 0.000 0.000 0.000
Er1 Er 0.000 0.000 0.500
Pd1 Pd 0.000 0.500 0.253
Pd2 Pd 0.500 0.500 0.000
Pd3 Pd 0.500 0.500 0.500
```

Properties
The density is 10.6 g/cm³. The formation energy comes out at -0.869 eV per atom. As for the uncorrected energy: -49.13 eV/cell. The value obtained for the density of states at the Fermi level is 0.736 states/eV per atom.